# 1
A plane-wave DFT calculation with PBE-GGA was carried out for a geometry-optimized Li2AlInAu2 structure.

Cell and atoms, written as POSCAR:
```
Li2AlInAu2
1.0
-0.1251 4.3989 1.4674
-2.5775 -1.3090 -3.6280
-4.2941 -1.2958 3.5182
Al Au In Li
1 2 1 2
Direct
0.0000 0.0000 0.0000 Al
0.3333 0.6667 0.0000 Au
0.0000 0.0000 0.5000 Au
0.3333 0.6667 0.5000 In
0.6667 0.3333 0.2432 Li
0.6667 0.3333 0.7568 Li
```

Values from the calculation:
The volume is 106.2 Å³ per cell. Its total DFT energy (no corrections) is -3.265 eV/atom.

=====

# 2
A plane-wave DFT calculation with PBE-GGA was carried out for a geometry-optimized ZnTeNO structure.

Cell and atoms, written as POSCAR:
```
ZnTeNO
1.0
3.1924 0.0000 0.0000
0.0000 5.8072 0.0000
0.0000 0.0000 6.1247
N O Te Zn
2 2 2 2
Direct
0.0000 0.8827 0.4079 N
0.0000 0.1173 0.9079 N
0.5000 0.3990 0.3000 O
0.5000 0.6010 0.8000 O
0.0000 0.8079 0.0531 Te
0.0000 0.1921 0.5531 Te
0.5000 0.6795 0.4930 Zn
0.5000 0.3205 0.9930 Zn
```

Values from the calculation:
The volume is 113.5 Å³ per cell. As for the energy above the most stable polymorph in this dataset: 65 meV per atom.

=====

# 3
A plane-wave DFT calculation with PBE-GGA was carried out for a geometry-optimized Pr2Nd2CI4Cl structure.

Cell and atoms, written as POSCAR:
```
Pr2Nd2CI4Cl
1.0
-0.9248 3.6595 -9.2171
-4.7412 2.6109 -8.3610
-0.8578 6.9975 4.7473
C Cl I Nd Pr
1 1 4 2 2
Direct
0.5000 0.5000 0.0000 C
0.5000 0.5000 0.5000 Cl
0.8290 0.8290 0.1875 I
0.1645 0.1645 0.3545 I
0.8355 0.8355 0.6455 I
0.1710 0.1710 0.8125 I
0.6323 0.6323 0.0667 Nd
0.3677 0.3677 0.9333 Nd
0.9987 0.9987 0.2100 Pr
0.0013 0.0013 0.7900 Pr
```

Values from the calculation:
The volume is 328.2 Å³ per cell. As for the energy above the most stable polymorph in this dataset: 0 meV per atom.

=====

# 4
A plane-wave DFT calculation with PBE-GGA was carried out for a geometry-optimized Tb2NdAl3Si2Pd structure.

Cell and atoms, written as POSCAR:
```
Tb2NdAl3Si2Pd
1.0
-0.9873 -1.5946 -3.8661
2.0687 -6.3244 2.0803
-6.6287 1.9733 0.8788
Al Nd Pd Si Tb
3 1 1 2 2
Direct
0.5000 0.9976 0.2368 Al
0.5000 0.7645 0.7645 Al
0.5000 0.2368 0.9976 Al
0.0000 0.4183 0.4183 Nd
0.0000 0.9932 0.9932 Pd
0.5000 0.6726 0.3314 Si
0.5000 0.3314 0.6726 Si
0.0000 0.5841 0.0015 Tb
0.0000 0.0015 0.5841 Tb
```

Values from the calculation:
The volume is 180.7 Å³ per cell. Its total DFT energy (no corrections) is -5.356 eV/atom.